(1)
## CaPPdRh2 (PBE)

Data for CaPPdRh2 after structural relaxation.

Output
Energy in eV per atom: -6.055
Mass density in g/cm³: 6.98
Formation enthalpy at 0 K in eV/f.u.: -3.0
Fermi-level density of states in states/eV per cell: 2.762

Cell lengths 4.4403, 4.4403, 4.6247 Å; angles 90.00, 90.00, 90.00 degrees
Space group P4/mmm (No. 123)
One atom of each set of equivalent atoms:
1 Ca 0.0000 0.0000 0.0000 [1 per cell]
2 P 0.5000 0.5000 0.5000 [1 per cell]
3 Pd 0.5000 0.5000 0.0000 [1 per cell]
4 Rh 0.0000 0.5000 0.5000 [2 per cell]

(2)
## CaPPd2Ru (PBE)

Data for CaPPd2Ru after structural relaxation.

Output
Energy in eV per atom: -5.873
Mass density in g/cm³: 6.87
Formation enthalpy at 0 K in eV/f.u.: -2.3
Fermi-level density of states in states/eV per cell: 2.160

Cell lengths 4.5883, 4.5883, 4.4166 Å; angles 90.00, 90.00, 90.00 degrees
Space group P4/mmm (No. 123)
One atom of each set of equivalent atoms:
1 Ca 0.0000 0.0000 0.0000 [1 per cell]
2 P 0.5000 0.5000 0.5000 [1 per cell]
3 Pd 0.0000 0.5000 0.5000 [2 per cell]
4 Ru 0.5000 0.5000 0.0000 [1 per cell]

(3)
## CaP2PdRu (PBE)

Data for CaP2PdRu after structural relaxation.

Output
Energy in eV per atom: -6.237
Mass density in g/cm³: 6.34
Formation enthalpy at 0 K in eV/f.u.: -3.9
Fermi-level density of states in states/eV per cell: 6.461

Cell lengths 4.0616, 4.0616, 9.8350 Å; angles 90.00, 90.00, 90.00 degrees
Space group I-4m2 (No. 119)
One atom of each set of equivalent atoms:
1 Ca 0.0000 0.0000 0.0000 [2 per cell]
2 P 0.0000 0.0000 0.3850 [4 per cell]
3 Pd 0.0000 0.5000 0.2500 [2 per cell]
4 Ru 0.0000 0.5000 0.7500 [2 per cell]

(4)
## Ca3Sb2PPd9 (PBE)

Data for Ca3Sb2PPd9 after structural relaxation.

Output
Energy in eV per atom: -4.945
Mass density in g/cm³: 6.68
Fermi-level density of states in states/eV per cell: 4.745

Cell lengths 6.9796, 6.9796, 7.9736 Å; angles 90.00, 90.00, 120.00 degrees
Space group P-3m1 (No. 164)
One atom of each set of equivalent atoms:
1 Ca 0.0000 0.0000 0.0000 [1 per cell]
2 Ca 0.3333 0.6667 0.6916 [2 per cell]
3 Sb 0.3333 0.6667 0.2093 [2 per cell]
4 P 0.0000 0.0000 0.5000 [1 per cell]
5 Pd 0.0000 0.5000 0.0000 [3 per cell]
6 Pd 0.1346 0.2691 0.3011 [6 per cell]

(5)
## Ca2SbPPd6 (PBE)

Data for Ca2SbPPd6 after structural relaxation.

Output
Energy in eV per atom: -5.160
Mass density in g/cm³: 7.05
Fermi-level density of states in states/eV per cell: 7.479

Cell lengths 5.6879, 8.8256, 8.1813 Å; angles 90.00, 90.00, 90.00 degrees
Space group Pmmn (No. 59, origin choice 2)
One atom of each set of equivalent atoms:
1 Ca 0.2500 0.0133 0.2333 [4 per cell]
2 Sb 0.2500 0.7500 0.7882 [2 per cell]
3 P 0.2500 0.2500 0.7243 [2 per cell]
4 Pd 0.0024 0.7500 0.5044 [4 per cell]
5 Pd 0.0056 0.2500 0.9492 [4 per cell]
6 Pd 0.2500 0.0040 0.6158 [4 per cell]

(6)
## CaSb2P2Pd7 (PBE)

Data for CaSb2P2Pd7 after structural relaxation.

Output
Energy in eV per atom: -5.300
Mass density in g/cm³: 7.96
Fermi-level density of states in states/eV per cell: 8.350

Cell lengths 6.4099, 6.0966, 11.6417 Å; angles 90.00, 91.05, 90.00 degrees
Space group C2/m (No. 12)
One atom of each set of equivalent atoms:
1 Ca 0.0000 0.0000 0.0000 [2 per cell]
2 Sb 0.1797 0.0000 0.6035 [4 per cell]
3 P 0.1561 0.5000 0.8256 [4 per cell]
4 Pd 0.0000 0.5000 0.0000 [2 per cell]
5 Pd 0.0886 0.2407 0.2440 [8 per cell]
6 Pd 0.1339 0.5000 0.6021 [4 per cell]

(7)
## CaP2PdSe8 (PBE)

Data for CaP2PdSe8 after structural relaxation.

Output
Energy in eV per atom: -4.135
Mass density in g/cm³: 4.65
Fermi-level density of states in states/eV per cell: 3.286

Cell lengths 6.2759, 6.2759, 8.7995 Å; angles 90.00, 90.00, 120.00 degrees
Space group P-3 (No. 147)
One atom of each set of equivalent atoms:
1 Ca 0.0000 0.0000 0.0000 [1 per cell]
2 P 0.3333 0.6667 0.7485 [2 per cell]
3 Pd 0.0000 0.0000 0.5000 [1 per cell]
4 Se 0.0062 0.7039 0.3039 [6 per cell]
5 Se 0.3333 0.6667 0.9979 [2 per cell]

(8)
## Ca3SiP2Pd9 (PBE)

Data for Ca3SiP2Pd9 after structural relaxation.

Output
Energy in eV per atom: -5.295
Mass density in g/cm³: 6.62
Fermi-level density of states in states/eV per cell: 4.998

Cell lengths 6.3411, 6.3411, 8.4189 Å; angles 90.00, 90.00, 120.00 degrees
Space group P-3m1 (No. 164)
One atom of each set of equivalent atoms:
1 Ca 0.0000 0.0000 0.0000 [1 per cell]
2 Ca 0.3333 0.6667 0.6565 [2 per cell]
3 Si 0.0000 0.0000 0.5000 [1 per cell]
4 P 0.3333 0.6667 0.1745 [2 per cell]
5 Pd 0.0000 0.5000 0.0000 [3 per cell]
6 Pd 0.1480 0.2960 0.2938 [6 per cell]